Entry 1:
{
  "formula": "NaErSn",
  "functional": "GGA-PBE",
  "state": "relaxed",
  "e_above_lowest_polymorph_mev_per_atom": 103,
  "delta_e_f_ev_per_fu": -0.49,
  "energy_ev_per_atom": -3.4596,
  "magnetic_moment_mub_per_cell": 0.09,
  "lattice": [[3.407, 0.000, 0.000], [0.000, 3.407, 0.000], [-1.703, -1.703, 7.444]],
  "species": ["Na", "Sn", "Er"],
  "frac_coords": [[0.015, 0.015, 0.030], [0.671, 0.671, 0.342], [0.314, 0.314, 0.628]]
}

Entry 2:
{
  "formula": "NaErSn",
  "functional": "GGA-PBE",
  "state": "relaxed",
  "e_above_lowest_polymorph_mev_per_atom": 30,
  "delta_e_f_ev_per_fu": -0.71,
  "energy_ev_per_atom": -3.5323,
  "magnetic_moment_mub_per_cell": 0.00,
  "lattice": [[-2.095, -1.125, -2.512], [-2.957, -2.313, 3.502], [-0.962, 4.853, -1.370]],
  "species": ["Na", "Sn", "Er"],
  "frac_coords": [[0.902, 0.000, 0.000], [0.755, 0.667, 0.333], [0.343, 0.333, 0.667]]
}

Entry 3:
{
  "formula": "Na3ErSn12",
  "functional": "GGA-PBE",
  "state": "relaxed",
  "delta_e_f_ev_per_fu": -2.88,
  "energy_ev_per_atom": -3.7143,
  "magnetic_moment_mub_per_cell": 0.00,
  "lattice": [[-3.652, 2.572, -1.340], [-1.867, -3.734, -2.078], [-9.260, -4.551, 16.493]],
  "species": ["Sn", "Er", "Sn", "Sn", "Sn", "Na", "Sn", "Sn", "Na", "Sn", "Sn", "Sn", "Sn", "Na", "Sn", "Sn"],
  "frac_coords": [[0.500, 0.000, 0.625], [0.000, 0.000, 0.000], [0.000, 0.500, 0.876], [0.500, 0.000, 0.124], [0.500, 0.000, 0.876], [0.000, 0.000, 0.500], [0.000, 0.500, 0.625], [0.500, 0.500, 0.500], [0.000, 0.000, 0.752], [0.500, 0.500, 0.749], [0.000, 0.500, 0.124], [0.500, 0.500, 0.251], [0.500, 0.500, 0.000], [0.000, 0.000, 0.248], [0.000, 0.500, 0.375], [0.500, 0.000, 0.375]]
}

Entry 4:
{
  "formula": "NaEr2Sn9",
  "functional": "GGA-PBE",
  "state": "relaxed",
  "delta_e_f_ev_per_fu": -3.66,
  "energy_ev_per_atom": -4.1775,
  "magnetic_moment_mub_per_cell": 0.00,
  "lattice": [[4.683, 0.000, 0.000], [0.000, 4.683, 0.000], [0.000, 0.000, 14.300]],
  "species": ["Sn", "Sn", "Sn", "Na", "Sn", "Sn", "Sn", "Sn", "Sn", "Er", "Er", "Sn"],
  "frac_coords": [[0.500, 0.500, 0.667], [0.000, 0.500, 0.168], [0.500, 0.500, 0.333], [0.000, 0.000, 0.000], [0.500, 0.500, 0.000], [0.000, 0.500, 0.500], [0.500, 0.000, 0.832], [0.500, 0.000, 0.500], [0.500, 0.000, 0.168], [0.000, 0.000, 0.338], [0.000, 0.000, 0.662], [0.000, 0.500, 0.832]]
}

Entry 5:
{
  "formula": "Na4Er3SnTe8",
  "functional": "GGA-PBE",
  "state": "relaxed",
  "raw_formation_energy_ev_per_atom": -1.092,
  "energy_ev_per_atom": -4.0980,
  "magnetic_moment_mub_per_cell": 0.00,
  "lattice": [[8.828, 0.000, 0.000], [0.000, 9.113, 0.190], [-4.414, -4.410, 6.246]],
  "species": ["Er", "Te", "Na", "Na", "Te", "Te", "Te", "Er", "Te", "Er", "Sn", "Te", "Na", "Na", "Te", "Te"],
  "frac_coords": [[0.500, 0.500, 0.500], [0.757, 0.271, 0.015], [0.500, 0.000, 0.500], [0.000, 0.000, 0.000], [0.743, 0.730, 0.487], [0.257, 0.270, 0.513], [0.258, 0.271, 0.015], [0.500, 0.500, 0.000], [0.757, 0.271, 0.513], [0.000, 0.500, 0.500], [0.000, 0.500, 0.000], [0.243, 0.729, 0.985], [0.500, 0.000, 0.000], [0.000, 0.000, 0.500], [0.742, 0.729, 0.985], [0.243, 0.729, 0.487]]
}

Entry 6:
{
  "formula": "Na2ErSn3Te6",
  "functional": "GGA-PBE",
  "state": "relaxed",
  "raw_formation_energy_ev_per_atom": -0.664,
  "energy_ev_per_atom": -3.8353,
  "magnetic_moment_mub_per_cell": 0.00,
  "lattice": [[7.752, 0.000, 0.001], [-3.874, 6.714, 0.001], [-1.294, -2.240, 7.407]],
  "species": ["Te", "Te", "Sn", "Te", "Te", "Te", "Sn", "Te", "Sn", "Er", "Na", "Na"],
  "frac_coords": [[0.916, 0.600, 0.754], [0.766, 0.766, 0.254], [0.163, 0.837, 0.500], [0.400, 0.084, 0.246], [0.234, 0.234, 0.746], [0.084, 0.400, 0.246], [0.837, 0.163, 0.500], [0.600, 0.916, 0.754], [0.500, 0.500, 0.500], [0.000, 0.000, 0.000], [0.668, 0.332, 0.000], [0.332, 0.668, 0.000]]
}

| no. | volume (Å³/f.u.) |
| --- | --- |
| 1 | 86 |
| 2 | 79 |
| 3 | 423 |
| 4 | 314 |
| 5 | 510 |
| 6 | 385 |